(1)
BaCaP2O6, relaxed, DFT GGA-PBE; formation energy without anion corrections = -2405 meV per atom; V = 311.1 Å³ per cell; Fermi-level density of states = 3.2 states/eV/cell; total magnetic moment = 0.000 μB per cell; electronic total energy = -6.855 eV per atom; SG = C2/c (15)
1.0
4.601 -5.204 0.000
4.601 5.204 0.000
-2.179 0.000 6.496
Ba Ca P O
2 2 4 12
direct
0.164 0.836 0.750 Ba
0.836 0.164 0.250 Ba
0.410 0.590 0.250 Ca
0.590 0.410 0.750 Ca
0.110 0.328 0.775 P
0.328 0.110 0.275 P
0.672 0.890 0.725 P
0.890 0.672 0.225 P
0.078 0.585 0.312 O
0.170 0.175 0.603 O
0.175 0.170 0.103 O
0.293 0.502 0.884 O
0.415 0.922 0.188 O
0.498 0.707 0.616 O
0.502 0.293 0.384 O
0.585 0.078 0.812 O
0.707 0.498 0.116 O
0.825 0.830 0.897 O
0.830 0.825 0.397 O
0.922 0.415 0.688 O

(2)
Tl5In12Sb3, relaxed, DFT GGA-PBE; formation energy without anion corrections = 182 meV per atom; V = 2852.2 Å³ per cell; Fermi-level density of states = 43.9 states/eV/cell; total magnetic moment = 0.000 μB per cell; electronic total energy = -2.671 eV per atom; SG = Ia-3d (230)
1.0
-8.934 8.934 8.934
8.934 -8.934 8.934
8.934 8.934 -8.934
Tl In Sb
20 48 12
direct
0.000 0.000 0.000 Tl
0.000 0.000 0.500 Tl
0.000 0.500 0.000 Tl
0.000 0.500 0.500 Tl
0.125 0.750 0.875 Tl
0.125 0.875 0.250 Tl
0.250 0.125 0.875 Tl
0.250 0.625 0.375 Tl
0.375 0.250 0.625 Tl
0.375 0.625 0.750 Tl
0.500 0.000 0.000 Tl
0.500 0.000 0.500 Tl
0.500 0.500 0.000 Tl
0.500 0.500 0.500 Tl
0.625 0.375 0.250 Tl
0.625 0.750 0.375 Tl
0.750 0.375 0.625 Tl
0.750 0.875 0.125 Tl
0.875 0.125 0.750 Tl
0.875 0.250 0.125 Tl
0.067 0.229 0.141 In
0.067 0.337 0.926 In
0.074 0.641 0.412 In
0.074 0.933 0.663 In
0.088 0.729 0.663 In
0.088 0.859 0.426 In
0.141 0.067 0.229 In
0.141 0.574 0.912 In
0.163 0.229 0.588 In
0.163 0.433 0.574 In
0.229 0.141 0.067 In
0.229 0.588 0.163 In
0.271 0.337 0.912 In
0.271 0.433 0.359 In
0.337 0.912 0.271 In
0.337 0.926 0.067 In
0.359 0.271 0.433 In
0.359 0.588 0.926 In
0.412 0.074 0.641 In
0.412 0.837 0.771 In
0.426 0.088 0.859 In
0.426 0.837 0.567 In
0.433 0.359 0.271 In
0.433 0.574 0.163 In
0.567 0.426 0.837 In
0.567 0.641 0.729 In
0.574 0.163 0.433 In
0.574 0.912 0.141 In
0.588 0.163 0.229 In
0.588 0.926 0.359 In
0.641 0.412 0.074 In
0.641 0.729 0.567 In
0.663 0.074 0.933 In
0.663 0.088 0.729 In
0.729 0.567 0.641 In
0.729 0.663 0.088 In
0.771 0.412 0.837 In
0.771 0.859 0.933 In
0.837 0.567 0.426 In
0.837 0.771 0.412 In
0.859 0.426 0.088 In
0.859 0.933 0.771 In
0.912 0.141 0.574 In
0.912 0.271 0.337 In
0.926 0.067 0.337 In
0.926 0.359 0.588 In
0.933 0.663 0.074 In
0.933 0.771 0.859 In
0.125 0.250 0.375 Sb
0.125 0.375 0.750 Sb
0.250 0.375 0.125 Sb
0.250 0.875 0.625 Sb
0.375 0.125 0.250 Sb
0.375 0.750 0.125 Sb
0.625 0.250 0.875 Sb
0.625 0.875 0.750 Sb
0.750 0.125 0.375 Sb
0.750 0.625 0.875 Sb
0.875 0.625 0.250 Sb
0.875 0.750 0.625 Sb

(3)
Sc5Tl, relaxed, DFT GGA-PBE; V = 160.5 Å³ per cell; Fermi-level density of states = 10.2 states/eV/cell; total magnetic moment = 1.008 μB per cell; electronic total energy = -5.283 eV per atom; E above lowest polymorph = 0.509 eV per atom; formation enthalpy at 0 K = 2.3 eV per formula unit; SG = P6/mmm (191)
1.0
5.924 0.000 0.000
-2.962 5.130 0.000
0.000 0.000 5.281
Sc Tl
5 1
direct
0.000 0.500 0.000 Sc
0.333 0.667 0.500 Sc
0.500 0.000 0.000 Sc
0.500 0.500 0.000 Sc
0.667 0.333 0.500 Sc
0.000 0.000 0.500 Tl

(4)
Y2Cd3Pd4, relaxed, DFT GGA-PBE; V = 371.1 Å³ per cell; Fermi-level density of states = 9.3 states/eV/cell; total magnetic moment = 0.000 μB per cell; electronic total energy = -4.640 eV per atom; E above lowest polymorph = 0.036 eV per atom; formation enthalpy at 0 K = -5.3 eV per formula unit; SG = Cmce (64)
1.0
2.888 -8.725 0.000
2.888 8.725 0.000
0.000 0.000 7.363
Y Cd Pd
4 6 8
direct
0.103 0.897 0.913 Y
0.397 0.603 0.413 Y
0.603 0.397 0.587 Y
0.897 0.103 0.087 Y
0.000 0.000 0.500 Cd
0.014 0.486 0.750 Cd
0.486 0.014 0.250 Cd
0.500 0.500 0.000 Cd
0.514 0.986 0.750 Cd
0.986 0.514 0.250 Cd
0.159 0.841 0.534 Pd
0.174 0.326 0.750 Pd
0.326 0.174 0.250 Pd
0.341 0.659 0.034 Pd
0.659 0.341 0.966 Pd
0.674 0.826 0.750 Pd
0.826 0.674 0.250 Pd
0.841 0.159 0.466 Pd

(5)
Ba2Ga3PbAu12, relaxed, DFT GGA-PBE; V = 431.9 Å³ per cell; Fermi-level density of states = 6.3 states/eV/cell; total magnetic moment = 0.000 μB per cell; electronic total energy = -3.322 eV per atom; formation enthalpy at 0 K = -3.8 eV per formula unit; SG = R-3m (166)
1.0
3.389 1.957 10.856
-3.389 1.957 10.856
0.000 -3.913 10.856
Ba Ga Pb Au
2 3 1 12
direct
0.139 0.139 0.139 Ba
0.861 0.861 0.861 Ba
0.000 0.500 0.500 Ga
0.500 0.000 0.500 Ga
0.500 0.500 0.000 Ga
0.500 0.500 0.500 Pb
0.072 0.621 0.621 Au
0.095 0.095 0.679 Au
0.095 0.679 0.095 Au
0.321 0.905 0.905 Au
0.379 0.379 0.928 Au
0.379 0.928 0.379 Au
0.621 0.072 0.621 Au
0.621 0.621 0.072 Au
0.679 0.095 0.095 Au
0.905 0.321 0.905 Au
0.905 0.905 0.321 Au
0.928 0.379 0.379 Au

(6)
LiTeRh3, relaxed, DFT GGA-PBE; formation energy without anion corrections = 482 meV per atom; V = 77.1 Å³ per cell; Fermi-level density of states = 7.6 states/eV/cell; total magnetic moment = 0.898 μB per cell; electronic total energy = -4.940 eV per atom; SG = Pm-3m (221)
1.0
4.256 0.000 0.000
0.000 4.256 0.000
0.000 0.000 4.256
Li Te Rh
1 1 3
direct
0.000 0.000 0.000 Li
0.500 0.500 0.500 Te
0.000 0.000 0.500 Rh
0.000 0.500 0.000 Rh
0.500 0.000 0.000 Rh

(7)
SrNbGe2Te, relaxed, DFT GGA-PBE; formation energy without anion corrections = 1614 meV per atom; V = 163.8 Å³ per cell; Fermi-level density of states = 8.1 states/eV/cell; total magnetic moment = 0.000 μB per cell; electronic total energy = -3.211 eV per atom; SG = P4/mmm (123)
1.0
5.319 0.000 0.000
0.000 5.319 0.000
0.000 0.000 5.790
Sr Nb Ge Te
1 1 2 1
direct
0.000 0.000 0.000 Sr
0.500 0.500 0.500 Nb
0.000 0.500 0.000 Ge
0.500 0.000 0.000 Ge
0.000 0.000 0.500 Te

(8)
Ni2IrS2, relaxed, DFT GGA-PBE; formation energy without anion corrections = 143 meV per atom; V = 129.8 Å³ per cell; Fermi-level density of states = 10.9 states/eV/cell; total magnetic moment = 0.000 μB per cell; electronic total energy = -5.593 eV per atom; E above lowest polymorph = 0.000 eV per atom; SG = P4/mbm (127)
1.0
6.487 0.000 0.000
0.000 6.487 0.000
0.000 0.000 3.086
Ni Ir S
4 2 4
direct
0.143 0.357 0.000 Ni
0.357 0.857 0.000 Ni
0.643 0.143 0.000 Ni
0.857 0.643 0.000 Ni
0.000 0.000 0.500 Ir
0.500 0.500 0.500 Ir
0.169 0.669 0.500 S
0.331 0.169 0.500 S
0.669 0.831 0.500 S
0.831 0.331 0.500 S

(9)
Ba2AgW, relaxed, DFT GGA-PBE; V = 120.8 Å³ per cell; Fermi-level density of states = 4.2 states/eV/cell; total magnetic moment = 0.016 μB per cell; electronic total energy = -3.949 eV per atom; E above lowest polymorph = 0.068 eV per atom; formation enthalpy at 0 K = 3.9 eV per formula unit; SG = C2/m (12)
1.0
4.273 -4.272 0.000
4.273 4.272 0.000
-0.008 0.000 3.310
Ba Ag W
2 1 1
direct
0.000 0.500 0.000 Ba
0.500 0.000 0.000 Ba
0.000 0.000 0.500 Ag
0.500 0.500 0.500 W

(10)
Pm3ErTl4Te8, relaxed, DFT GGA-PBE; formation energy without anion corrections = -1064 meV per atom; V = 577.7 Å³ per cell; total magnetic moment = 0.000 μB per cell; electronic total energy = -4.402 eV per atom; SG = R-3m (166)
1.0
4.515 2.607 8.181
-4.515 2.607 8.181
0.000 -5.213 8.181
Pm Er Tl Te
3 1 4 8
direct
0.000 0.500 0.500 Pm
0.500 0.000 0.500 Pm
0.500 0.500 0.000 Pm
0.000 0.000 0.000 Er
0.000 0.000 0.500 Tl
0.000 0.500 0.000 Tl
0.500 0.000 0.000 Tl
0.500 0.500 0.500 Tl
0.235 0.235 0.746 Te
0.235 0.746 0.235 Te
0.254 0.765 0.765 Te
0.260 0.260 0.260 Te
0.740 0.740 0.740 Te
0.746 0.235 0.235 Te
0.765 0.254 0.765 Te
0.765 0.765 0.254 Te

(11)
TlPbOF2, relaxed, DFT GGA-PBE; formation energy without anion corrections = -1535 meV per atom; V = 91.1 Å³ per cell; Fermi-level density of states = 0.4 states/eV/cell; total magnetic moment = 0.000 μB per cell; electronic total energy = -4.490 eV per atom; E above lowest polymorph = 0.000 eV per atom; SG = P4/mmm (123)
1.0
4.637 0.000 0.000
0.000 4.637 0.000
0.000 0.000 4.235
Tl Pb O F
1 1 1 2
direct
0.000 0.000 0.000 Tl
0.500 0.500 0.500 Pb
0.500 0.500 0.000 O
0.000 0.500 0.500 F
0.500 0.000 0.500 F

(12)
TmZnPtO6, relaxed, DFT GGA-PBE; formation energy without anion corrections = -1231 meV per atom; V = 217.2 Å³ per cell; Fermi-level density of states = 13.8 states/eV/cell; total magnetic moment = 0.000 μB per cell; electronic total energy = -5.846 eV per atom; SG = P-31c (163)
1.0
5.428 0.000 0.000
-2.714 4.701 0.000
0.000 0.000 8.514
Tm Zn Pt O
2 2 2 12
direct
0.333 0.667 0.250 Tm
0.667 0.333 0.750 Tm
0.000 0.000 0.000 Zn
0.000 0.000 0.500 Zn
0.333 0.667 0.750 Pt
0.667 0.333 0.250 Pt
0.033 0.362 0.621 O
0.033 0.671 0.879 O
0.329 0.362 0.879 O
0.329 0.967 0.621 O
0.362 0.033 0.121 O
0.362 0.329 0.379 O
0.638 0.671 0.621 O
0.638 0.967 0.879 O
0.671 0.033 0.379 O
0.671 0.638 0.121 O
0.967 0.329 0.121 O
0.967 0.638 0.379 O

(13)
HoLuTlGa, relaxed, DFT GGA-PBE; V = 97.5 Å³ per cell; Fermi-level density of states = 1.8 states/eV/cell; total magnetic moment = 0.000 μB per cell; electronic total energy = -4.017 eV per atom; formation enthalpy at 0 K = -1.6 eV per formula unit; SG = F-43m (216)
1.0
0.000 3.653 3.653
3.653 0.000 3.653
3.653 3.653 0.000
Ho Lu Tl Ga
1 1 1 1
direct
0.000 0.000 0.000 Ho
0.500 0.500 0.500 Lu
0.750 0.750 0.750 Tl
0.250 0.250 0.250 Ga

(14)
Pr8BiSb3Te4, relaxed, DFT GGA-PBE; formation energy without anion corrections = -1324 meV per atom; V = 537.0 Å³ per cell; Fermi-level density of states = 7.7 states/eV/cell; total magnetic moment = 0.000 μB per cell; electronic total energy = -5.515 eV per atom; SG = R-3m (166)
1.0
4.561 2.633 7.451
-4.561 2.633 7.451
0.000 -5.267 7.451
Pr Bi Sb Te
8 1 3 4
direct
0.244 0.750 0.750 Pr
0.247 0.247 0.247 Pr
0.250 0.250 0.756 Pr
0.250 0.756 0.250 Pr
0.750 0.244 0.750 Pr
0.750 0.750 0.244 Pr
0.753 0.753 0.753 Pr
0.756 0.250 0.250 Pr
0.500 0.500 0.500 Bi
0.000 0.000 0.500 Sb
0.000 0.500 0.000 Sb
0.500 0.000 0.000 Sb
0.000 0.000 0.000 Te
0.000 0.500 0.500 Te
0.500 0.000 0.500 Te
0.500 0.500 0.000 Te

(15)
NaNd5Cd4, relaxed, DFT GGA-PBE; V = 299.0 Å³ per cell; Fermi-level density of states = 11.8 states/eV/cell; total magnetic moment = 1.753 μB per cell; electronic total energy = -3.083 eV per atom; formation enthalpy at 0 K = -2.0 eV per formula unit; SG = P4/mmm (123)
1.0
3.895 0.000 0.000
0.000 3.895 0.000
0.000 0.000 19.715
Na Nd Cd
1 5 4
direct
0.000 0.000 0.000 Na
0.500 0.500 0.120 Nd
0.500 0.500 0.307 Nd
0.500 0.500 0.500 Nd
0.500 0.500 0.693 Nd
0.500 0.500 0.880 Nd
0.000 0.000 0.210 Cd
0.000 0.000 0.403 Cd
0.000 0.000 0.597 Cd
0.000 0.000 0.790 Cd

(16)
Th2TcRu, relaxed, DFT GGA-PBE; V = 90.5 Å³ per cell; Fermi-level density of states = 3.1 states/eV/cell; total magnetic moment = 0.000 μB per cell; electronic total energy = -8.808 eV per atom; formation enthalpy at 0 K = -0.7 eV per formula unit; SG = P4/mmm (123)
1.0
3.570 0.000 0.000
0.000 3.570 0.000
0.000 0.000 7.099
Th Tc Ru
2 1 1
direct
0.000 0.000 0.250 Th
0.000 0.000 0.750 Th
0.500 0.500 0.000 Tc
0.500 0.500 0.500 Ru

(17)
KSr2ZnPd, relaxed, DFT GGA-PBE; V = 186.3 Å³ per cell; Fermi-level density of states = 2.0 states/eV/cell; total magnetic moment = 0.000 μB per cell; electronic total energy = -2.371 eV per atom; formation enthalpy at 0 K = -0.9 eV per formula unit; SG = P4/mmm (123)
1.0
5.993 0.000 0.000
0.000 5.993 0.000
0.000 0.000 5.188
K Sr Zn Pd
1 2 1 1
direct
0.000 0.000 0.000 K
0.000 0.500 0.500 Sr
0.500 0.000 0.500 Sr
0.500 0.500 0.000 Zn
0.500 0.500 0.500 Pd

(18)
Si7Au6, relaxed, DFT GGA-PBE; formation energy without anion corrections = 287 meV per atom; V = 235.5 Å³ per cell; Fermi-level density of states = 4.4 states/eV/cell; total magnetic moment = 0.000 μB per cell; electronic total energy = -4.146 eV per atom; SG = R-3m (166)
1.0
2.665 1.539 9.569
-2.665 1.539 9.569
0.000 -3.078 9.569
Si Au
7 6
direct
0.000 0.000 0.000 Si
0.070 0.070 0.594 Si
0.070 0.594 0.070 Si
0.406 0.930 0.930 Si
0.594 0.070 0.070 Si
0.930 0.406 0.930 Si
0.930 0.930 0.406 Si
0.172 0.172 0.172 Au
0.316 0.316 0.316 Au
0.418 0.418 0.418 Au
0.582 0.582 0.582 Au
0.684 0.684 0.684 Au
0.828 0.828 0.828 Au

(19)
GdThAl4, relaxed, DFT GGA-PBE; V = 127.4 Å³ per cell; Fermi-level density of states = 2.9 states/eV/cell; total magnetic moment = 7.180 μB per cell; electronic total energy = -6.543 eV per atom; formation enthalpy at 0 K = -2.8 eV per formula unit; SG = F-43m (216)
1.0
0.000 3.993 3.993
3.993 0.000 3.993
3.993 3.993 0.000
Gd Th Al
1 1 4
direct
0.000 0.000 0.000 Gd
0.750 0.750 0.750 Th
0.375 0.375 0.375 Al
0.375 0.375 0.875 Al
0.375 0.875 0.375 Al
0.875 0.375 0.375 Al